1.
Density functional theory data (PBEsol) for a relaxed structure of ZrTaAl.

Cell: 6.439 6.439 6.439 Å, 90.00 90.00 90.00°
Element x y z (fractional)
Zr1 0.000 0.000 0.000
Zr2 0.000 0.500 0.500
Zr3 0.500 0.000 0.500
Zr4 0.500 0.500 0.000
Ta1 0.250 0.250 0.750
Ta2 0.250 0.750 0.250
Ta3 0.750 0.250 0.250
Ta4 0.750 0.750 0.750
Al1 0.250 0.250 0.250
Al2 0.250 0.750 0.750
Al3 0.750 0.250 0.750
Al4 0.750 0.750 0.250

Magnetization   0.17 μB/cell
Symmetry   F-43m, No. 216
ΔH_f (0 K)   1079 meV/atom
Total energy   -7.4983 eV/atom

---

2.
Density functional theory data (PBEsol) for a relaxed structure of Li2ZnNi.

Cell: 2.563 3.718 5.337 Å, 90.00 90.00 90.00°
Element x y z (fractional)
Li1 0.000 0.000 0.000
Li2 0.500 0.500 0.277
Zn1 0.500 0.500 0.730
Ni1 0.000 0.000 0.527

Magnetization   0.00 μB/cell
Symmetry   Pmm2, No. 25
ΔH_f (0 K)   -94 meV/atom
Total energy   -3.0127 eV/atom

---

3.
Density functional theory data (PBEsol) for a relaxed structure of Sc2ReAg.

Cell: 2.860 2.860 30.642 Å, 90.00 90.00 120.00°
Element x y z (fractional)
Sc1 0.000 0.000 0.085
Sc2 0.000 0.000 0.915
Sc3 0.333 0.667 0.581
Sc4 0.333 0.667 0.752
Sc5 0.667 0.333 0.248
Sc6 0.667 0.333 0.419
Re1 0.000 0.000 0.000
Re2 0.333 0.667 0.667
Re3 0.667 0.333 0.333
Ag1 0.000 0.000 0.500
Ag2 0.333 0.667 0.167
Ag3 0.667 0.333 0.833

Magnetization   0.00 μB/cell
Symmetry   R-3m, No. 166
ΔH_f (0 K)   424 meV/atom
Total energy   -7.0393 eV/atom

---

4.
Density functional theory data (PBEsol) for a relaxed structure of HgAu.

Cell: 3.171 4.526 5.441 Å, 90.00 99.07 90.00°
Element x y z (fractional)
Hg1 0.091 0.250 0.318
Hg2 0.909 0.750 0.682
Au1 0.447 0.250 0.838
Au2 0.553 0.750 0.162

Magnetization   0.00 μB/cell
Symmetry   P2_1/m, No. 11
ΔH_f (0 K)   60 meV/atom
Total energy   -2.1857 eV/atom